1.
Compound: Dy4Zn2In
Source: Alexandria via LeMat-Bulk
Functional: PBE
Structure: relaxed

**Relative energy among the computed polymorphs**: 0.000 eV/atom
**Energy of formation from the pure elements**: -0.22 eV/atom

Cell: 8.638 8.638 8.638 Å, 34.13 34.13 34.13°
Sites, in units of the cell vectors:
Dy (0.114, 0.114, 0.114)
Dy (0.368, 0.368, 0.368)
Dy (0.632, 0.632, 0.632)
Dy (0.886, 0.886, 0.886)
Zn (0.245, 0.245, 0.245)
Zn (0.755, 0.755, 0.755)
In (0.500, 0.500, 0.500)

2.
Compound: LaNdDy5
Source: Alexandria via LeMat-Bulk
Functional: PBE
Structure: relaxed

**Relative energy among the computed polymorphs**: 0.000 eV/atom
**Energy of formation from the pure elements**: 0.19 eV/atom

Cell: 6.827 6.827 12.194 Å, 106.62 106.62 60.67°
Sites, in units of the cell vectors:
La (0.027, 0.973, 0.750)
La (0.973, 0.027, 0.250)
Nd (0.000, 0.500, 0.000)
Nd (0.500, 0.000, 0.500)
Dy (0.143, 0.416, 0.747)
Dy (0.201, 0.641, 0.501)
Dy (0.359, 0.799, 0.999)
Dy (0.409, 0.591, 0.250)
Dy (0.416, 0.143, 0.247)
Dy (0.584, 0.857, 0.753)
Dy (0.591, 0.409, 0.750)
Dy (0.641, 0.201, 0.001)
Dy (0.799, 0.359, 0.499)
Dy (0.857, 0.584, 0.253)

3.
Compound: FeSiSe2
Source: Alexandria via LeMat-Bulk
Functional: PBE
Structure: relaxed

**Uncorrected energy**: -5.35 eV per atom

Cell: 7.260 7.260 7.260 Å, 152.81 152.09 39.36°
Sites, in units of the cell vectors:
Fe (0.000, 0.000, 0.000)
Si (0.500, 0.500, 0.000)
Se (0.372, 0.872, 0.500)
Se (0.628, 0.128, 0.500)

4.
Compound: Rb2Sn7Pb
Source: Alexandria via LeMat-Bulk
Functional: PBE
Structure: relaxed

**Energy of formation from the pure elements**: -0.13 eV/atom

Cell: 5.215 5.215 13.110 Å, 90.00 90.00 90.00°
Sites, in units of the cell vectors:
Rb (0.000, 0.500, 0.248)
Rb (0.500, 0.000, 0.752)
Sn (0.000, 0.000, 0.000)
Sn (0.000, 0.500, 0.631)
Sn (0.000, 0.500, 0.875)
Sn (0.500, 0.000, 0.125)
Sn (0.500, 0.000, 0.369)
Sn (0.500, 0.500, 0.000)
Sn (0.500, 0.500, 0.500)
Pb (0.000, 0.000, 0.500)

5.
Compound: MnCu2As
Source: Alexandria via LeMat-Bulk
Functional: PBE
Structure: relaxed

**Energy of formation from the pure elements**: 0.25 eV/atom

Cell: 5.505 5.505 5.505 Å, 101.42 101.42 127.17°
Sites, in units of the cell vectors:
Mn (0.000, 0.000, 0.000)
Mn (0.750, 0.250, 0.500)
Cu (0.145, 0.625, 0.020)
Cu (0.375, 0.395, 0.520)
Cu (0.605, 0.125, 0.980)
Cu (0.875, 0.855, 0.480)
As (0.250, 0.750, 0.500)
As (0.500, 0.500, 0.000)

6.
Compound: Na2SnPb4
Source: Alexandria via LeMat-Bulk
Functional: PBE
Structure: relaxed

**Relative energy among the computed polymorphs**: 0.112 eV/atom
**Energy of formation from the pure elements**: 0.10 eV/atom

Cell: 7.832 7.832 5.931 Å, 90.00 90.00 133.09°
Sites, in units of the cell vectors:
Na (0.154, 0.846, 0.000)
Na (0.846, 0.154, 0.000)
Sn (0.500, 0.500, 0.500)
Pb (0.288, 0.712, 0.500)
Pb (0.392, 0.608, 0.000)
Pb (0.608, 0.392, 0.000)
Pb (0.712, 0.288, 0.500)

7.
Compound: Zn2InAgPb
Source: Alexandria via LeMat-Bulk
Functional: PBE
Structure: relaxed

**Energy of formation from the pure elements**: 0.58 eV/atom

Cell: 4.984 4.984 6.099 Å, 90.00 90.00 90.00°
Sites, in units of the cell vectors:
Zn (0.000, 0.500, 0.000)
Zn (0.500, 0.000, 0.000)
In (0.000, 0.000, 0.000)
Ag (0.500, 0.500, 0.500)
Pb (0.000, 0.000, 0.500)

8.
Compound: Cs3LiPd
Source: Alexandria via LeMat-Bulk
Functional: PBE
Structure: relaxed

**Relative energy among the computed polymorphs**: 0.000 eV/atom
**Energy of formation from the pure elements**: 0.16 eV/atom

Cell: 6.887 6.887 6.887 Å, 90.00 90.00 90.00°
Sites, in units of the cell vectors:
Cs (0.000, 0.000, 0.500)
Cs (0.000, 0.500, 0.000)
Cs (0.500, 0.000, 0.000)
Li (0.500, 0.500, 0.500)
Pd (0.000, 0.000, 0.000)